[1]
Computed, not measured: an optimized crystal structure of BaGe2P2 at the PBE level of DFT.

Lattice parameters (Å, degrees): 4.7917 4.7917 6.2151 67.33 67.33 90.00
Atoms (fractional coordinates):
P  0.7500  0.2500  0.5000
P  0.2500  0.7500  0.5000
Ge  0.3334  0.3334  0.3332
Ge  0.6666  0.6666  0.6668
Ba  0.0000  0.0000  0.0000

Output
The value obtained for the magnetization is 0.0 μB per cell. For the calculated density, the calculation gives 4.78 g/cm3. The value obtained for the electronic total energy is -4.718 eV/atom. The value obtained for the formation energy from the elements is -0.323 eV/atom. The space-group type is I4/mmm.

=====

[2]
Computed, not measured: an optimized crystal structure of BaGe3P at the PBE level of DFT.

Lattice parameters (Å, degrees): 5.7651 5.7651 5.7651 90.00 90.00 90.00
Atoms (fractional coordinates):
P  0.5000  0.5000  0.5000
Ge  0.0000  0.5000  0.0000
Ge  0.0000  0.0000  0.5000
Ge  0.5000  0.0000  0.0000
Ba  0.0000  0.0000  0.0000

Output
The value obtained for the magnetization is 0.0 μB per cell. For the calculated density, the calculation gives 3.35 g/cm3. The energy above the most stable polymorph in this dataset comes out at 159.6 kJ/mol of atoms. The value obtained for the electronic total energy is -2.482 eV/atom. The value obtained for the formation energy from the elements is 1.754 eV/atom. The space-group type is Pm-3m.

=====

[3]
Computed, not measured: an optimized crystal structure of Ba4GeP at the PBE level of DFT.

Lattice parameters (Å, degrees): 5.5900 5.5911 7.9028 89.97 89.99 90.00
Each line ends with the local moment (μB).
Atoms (fractional coordinates):
Ba  0.5013  0.9968  0.2537  0.06
Ba  0.5013  0.9977  0.7425  0.06
Ba  0.0015  0.4974  0.7425  0.06
Ba  0.0011  0.4972  0.2538  0.06
Ge  0.5013  0.4973  0.9981  -0.03
P  0.0013  0.9973  0.4981  -0.01

Output
The value obtained for the magnetization is 1.0 μB per cell. For the calculated density, the calculation gives 4.39 g/cm3. The value obtained for the electronic total energy is -3.582 eV/atom. The value obtained for the formation energy from the elements is -0.629 eV/atom. The space-group type is P4/mmm.

=====

[4]
Computed, not measured: an optimized crystal structure of Ba5Ge2P6 at the PBE level of DFT.

Lattice parameters (Å, degrees): 4.5012 12.6071 14.0648 90.00 90.00 90.00
Atoms (fractional coordinates):
Ba  0.5000  0.3264  0.4669
Ba  0.5000  0.6736  0.5331
Ba  0.5000  0.8264  0.0331
Ba  0.5000  0.1736  0.9669
Ba  0.5000  0.5598  0.2655
Ba  0.5000  0.4402  0.7345
Ba  0.5000  0.0598  0.2345
Ba  0.5000  0.9402  0.7655
Ba  0.5000  0.5000  0.0000
Ba  0.5000  0.0000  0.5000
Ge  0.0000  0.2857  0.2648
Ge  0.0000  0.7143  0.7352
Ge  0.0000  0.7857  0.2352
Ge  0.0000  0.2143  0.7648
P  0.0000  0.1519  0.3846
P  0.0000  0.8481  0.6154
P  0.0000  0.6519  0.1154
P  0.0000  0.3481  0.8846
P  0.5000  0.3150  0.1975
P  0.5000  0.6850  0.8025
P  0.5000  0.8150  0.3025
P  0.5000  0.1850  0.6975
P  0.0000  0.5140  0.4242
P  0.0000  0.4860  0.5758
P  0.0000  0.0140  0.0758
P  0.0000  0.9860  0.9242

Output
The value obtained for the magnetization is 0.0 μB per cell. For the calculated density, the calculation gives 4.23 g/cm3. The value obtained for the electronic total energy is -4.705 eV/atom. The value obtained for the formation energy from the elements is -0.758 eV/atom. The space-group type is Pbam.

=====

[5]
Computed, not measured: an optimized crystal structure of BaGeP3 at the PBE level of DFT.

Lattice parameters (Å, degrees): 5.5644 5.5644 5.5644 90.00 90.00 90.00
Atoms (fractional coordinates):
P  0.0000  0.5000  0.0000
P  0.0000  0.0000  0.5000
P  0.5000  0.0000  0.0000
Ge  0.5000  0.5000  0.5000
Ba  0.0000  0.0000  0.0000

Output
The value obtained for the magnetization is 0.0 μB per cell. For the calculated density, the calculation gives 2.92 g/cm3. The energy above the most stable polymorph in this dataset comes out at 151.0 kJ/mol of atoms. The value obtained for the electronic total energy is -2.979 eV/atom. The value obtained for the formation energy from the elements is 1.575 eV/atom. The space-group type is Pm-3m.

=====

[6]
Computed, not measured: an optimized crystal structure of Ba4GeP4 at the PBE level of DFT.

Lattice parameters (Å, degrees): 13.2220 13.2220 13.2220 90.00 90.00 90.00
Atoms (fractional coordinates):
Ba  0.9049  0.8677  0.6450
Ba  0.9049  0.1323  0.3550
Ba  0.8677  0.6450  0.9049
Ba  0.1323  0.6450  0.0951
Ba  0.6450  0.9049  0.8677
Ba  0.3550  0.0951  0.8677
Ba  0.5951  0.8550  0.3677
Ba  0.5951  0.1450  0.6323
Ba  0.4049  0.8550  0.6323
Ba  0.1450  0.6323  0.5951
Ba  0.6323  0.4049  0.8550
Ba  0.6323  0.5951  0.1450
Ba  0.8550  0.3677  0.5951
Ba  0.3677  0.5951  0.8550
Ba  0.8550  0.6323  0.4049
Ba  0.1450  0.3677  0.4049
Ba  0.3677  0.4049  0.1450
Ba  0.3550  0.9049  0.1323
Ba  0.6450  0.0951  0.1323
Ba  0.8677  0.3550  0.0951
Ba  0.1323  0.3550  0.9049
Ba  0.0951  0.1323  0.6450
Ba  0.0951  0.8677  0.3550
Ba  0.4049  0.1450  0.3677
Ba  0.1449  0.1449  0.1449
Ba  0.3551  0.6449  0.3551
Ba  0.6449  0.3551  0.3551
Ba  0.3551  0.3551  0.6449
Ba  0.1449  0.8551  0.8551
Ba  0.8551  0.8551  0.1449
Ba  0.8551  0.1449  0.8551
Ba  0.6449  0.6449  0.6449
Ge  0.7500  0.0000  0.5000
Ge  0.5000  0.7500  0.0000
Ge  0.5000  0.2500  0.0000
Ge  0.0000  0.5000  0.2500
Ge  0.0000  0.5000  0.7500
Ge  0.2500  0.0000  0.5000
Ge  0.5000  0.5000  0.5000
Ge  0.0000  0.0000  0.0000
P  0.6510  0.8963  0.6122
P  0.6510  0.1037  0.3878
P  0.8963  0.6122  0.6510
P  0.1037  0.6122  0.3490
P  0.6122  0.6510  0.8963
P  0.3878  0.3490  0.8963
P  0.8490  0.8878  0.3963
P  0.8490  0.1122  0.6037
P  0.1510  0.8878  0.6037
P  0.1122  0.6037  0.8490
P  0.6037  0.1510  0.8878
P  0.6037  0.8490  0.1122
P  0.8878  0.3963  0.8490
P  0.3963  0.8490  0.8878
P  0.8878  0.6037  0.1510
P  0.1122  0.3963  0.1510
P  0.3963  0.1510  0.1122
P  0.3878  0.6510  0.1037
P  0.6122  0.3490  0.1037
P  0.8963  0.3878  0.3490
P  0.1037  0.3878  0.6510
P  0.3490  0.1037  0.6122
P  0.3490  0.8963  0.3878
P  0.1510  0.1122  0.3963
P  0.8954  0.8954  0.8954
P  0.6046  0.3954  0.6046
P  0.3954  0.6046  0.6046
P  0.6046  0.6046  0.3954
P  0.8954  0.1046  0.1046
P  0.1046  0.1046  0.8954
P  0.1046  0.8954  0.1046
P  0.3954  0.3954  0.3954

Output
The value obtained for the magnetization is 0.0 μB per cell. For the calculated density, the calculation gives 4.29 g/cm3. The energy above the most stable polymorph in this dataset comes out at 0.0 kJ/mol of atoms. The value obtained for the electronic total energy is -4.689 eV/atom. The value obtained for the formation energy from the elements is -0.917 eV/atom. The space-group type is P-43n.

=====

[7]
Computed, not measured: an optimized crystal structure of BaGe3P at the PBE level of DFT.

Lattice parameters (Å, degrees): 5.0361 5.0361 5.0361 90.00 90.00 90.00
Atoms (fractional coordinates):
P  0.0000  0.0000  0.0000
Ge  0.0000  0.5000  0.0000
Ge  0.0000  0.0000  0.5000
Ge  0.5000  0.0000  0.0000
Ba  0.5000  0.5000  0.5000

Output
The value obtained for the magnetization is 0.0 μB per cell. For the calculated density, the calculation gives 5.02 g/cm3. The energy above the most stable polymorph in this dataset comes out at 0.0 kJ/mol of atoms. The value obtained for the electronic total energy is -4.137 eV/atom. The value obtained for the formation energy from the elements is 0.100 eV/atom. The space-group type is Pm-3m.

=====

[8]
Computed, not measured: an optimized crystal structure of Ba3Ge2P4 at the PBE level of DFT.

Lattice parameters (Å, degrees): 7.9190 8.7867 8.9422 119.43 89.52 90.00
Atoms (fractional coordinates):
Ba  0.1031  0.7616  0.7355
Ba  0.3969  0.0261  0.2645
Ba  0.8969  0.2384  0.2645
Ba  0.6031  0.9739  0.7355
Ba  0.7500  0.5223  0.0000
Ba  0.2500  0.4777  0.0000
Ge  0.5079  0.5374  0.3728
Ge  0.9921  0.1646  0.6272
Ge  0.4921  0.4626  0.6272
Ge  0.0079  0.8354  0.3728
P  0.4847  0.7158  0.8837
P  0.0153  0.8321  0.1163
P  0.5153  0.2842  0.1163
P  0.9847  0.1679  0.8837
P  0.8169  0.6546  0.4266
P  0.6831  0.2280  0.5734
P  0.1831  0.3454  0.5734
P  0.3169  0.7720  0.4266

Output
The value obtained for the magnetization is 0.0 μB per cell. For the calculated density, the calculation gives 4.17 g/cm3. The energy above the most stable polymorph in this dataset comes out at 0.0 kJ/mol of atoms. The value obtained for the electronic total energy is -4.746 eV/atom. The value obtained for the formation energy from the elements is -0.674 eV/atom. The space-group type is C2/c.